## Ag2MoF (PBE with a Hubbard U)

Data for a relaxed Ag2MoF crystal.

Cell and atoms, written as extended XYZ:
```
4
Lattice="0.000 3.344 3.344 3.344 0.000 3.344 3.344 3.344 0.000" Properties=species:S:1:pos:R:3 pbc="T T T"
Ag 1.672 1.672 1.672
Ag 5.015 5.015 5.015
Mo 0.000 0.000 0.000
F 3.344 3.344 3.344
```

Summary:
* spin magnetization: 4.685 μB/cell
* electronic total energy: -0.2484 Ry/atom
* relative energy among the computed polymorphs: 108.2 kJ/mol of formula units
* SG: Fm-3m